This record from the Alexandria database describes a geometry-optimized FeTePO2 structure. The functional is GGA+U.

Lattice parameters (Å, degrees): 4.0034 4.0034 5.3216 90.00 90.00 90.00
Last column: nearest neighbours and their distance in Å.
Element x y z (fractional)
1 Fe 0.5000 0.5000 0.5000  4 P 2.83
2 Te 0.0000 0.0000 0.0000  4 O 2.00
3 O 0.5000 0.0000 0.0000  2 Te 2.00
4 O 0.0000 0.5000 0.0000  2 Te 2.00
5 P 0.0000 0.0000 0.5000  2 Te 2.66, 4 Fe 2.83

Calculated values
E above lowest polymorph in eV per atom: 0.124
Size of the total moment in μB/f.u.: 4.13